Density functional theory data (PBE-GGA) for a relaxed HfCd2Sn crystal.

For the density of states at the Fermi level, the calculation gives 10.90 states/eV per cell. The calculation puts the raw total energy at -3.591 eV per atom. The calculation puts the formation energy at 356 meV per atom.

It has space group R-3m (No. 166, hexagonal axes), with a = 3.1999 Å, b = 3.1999 Å, c = 33.7372 Å, α = 90.00°, β = 90.00° and γ = 120.00°. The asymmetric unit holds Hf at (0.0000, 0.0000, 0.0000), Cd at (0.0000, 0.0000, 0.0870) and Sn at (0.0000, 0.0000, 0.5000).

Density functional theory data (PBE-GGA) for a relaxed BaSrCa2Mn crystal.

For the density of states at the Fermi level, the calculation gives 6.88 states/eV per cell. The calculation puts the raw total energy at -2.258 eV per atom. The calculation puts the formation energy at 1097 meV per atom.

It has space group P4/mmm (No. 123), with a = 6.353 Å, b = 6.353 Å, c = 4.904 Å, α = 90.00°, β = 90.00° and γ = 90.00°. The asymmetric unit holds Ba at (0.000, 0.000, 0.000), Sr at (0.500, 0.500, 0.500), Ca at (0.000, 0.500, 0.000) and Mn at (0.000, 0.000, 0.500).